Entry 1:
Compound: CsCdGaAu2
Source: the Alexandria database
Functional: PBE
Structure: optimized geometry

Cell: 5.180 5.180 5.522 Å, 90.00 90.00 90.00°
Sites, in units of the cell vectors:
1 Cs 0.000 0.000 0.000
2 Cd 0.500 0.500 0.000
3 Ga 0.500 0.500 0.500
4 Au 0.000 0.500 0.500
5 Au 0.500 0.000 0.500

Calculated values
Size of the total moment ... 0.00 μB per formula unit
Final energy ... -0.175 Ry per atom
ΔE_f ... -0.112 eV/atom


Entry 2:
Compound: Cs2CdGaAu
Source: the Alexandria database
Functional: PBE
Structure: optimized geometry

Cell: 7.110 7.110 4.897 Å, 90.00 90.00 90.00°
Sites, in units of the cell vectors:
1 Cs 0.000 0.500 0.000
2 Cs 0.500 0.000 0.000
3 Cd 0.000 0.000 0.500
4 Ga 0.500 0.500 0.500
5 Au 0.500 0.500 0.000

Calculated values
Size of the total moment ... 0.00 μB per formula unit
Final energy ... -0.135 Ry per atom
ΔE_f ... -0.055 eV/atom


Entry 3:
Compound: CsCdGaAu3
Source: the Alexandria database
Functional: PBE
Structure: optimized geometry

Cell: 7.795 7.795 7.065 Å, 90.00 90.00 123.88°
Sites, in units of the cell vectors:
1 Cs 0.239 0.761 0.750
2 Cs 0.761 0.239 0.250
3 Cd 0.467 0.533 0.250
4 Cd 0.533 0.467 0.750
5 Ga 0.082 0.918 0.250
6 Ga 0.918 0.082 0.750
7 Au 0.207 0.207 0.000
8 Au 0.207 0.207 0.500
9 Au 0.265 0.735 0.250
10 Au 0.735 0.265 0.750
11 Au 0.793 0.793 0.000
12 Au 0.793 0.793 0.500

Calculated values
Size of the total moment ... 0.00 μB per formula unit
Final energy ... -0.196 Ry per atom
ΔE_f ... -0.222 eV/atom


Entry 4:
Compound: Cs2Cd2GaAu2
Source: the Alexandria database
Functional: PBE
Structure: optimized geometry

Cell: 6.696 6.696 9.331 Å, 121.02 121.02 45.99°
Sites, in units of the cell vectors:
1 Cs 0.215 0.215 0.289
2 Cs 0.785 0.785 0.711
3 Cd 0.409 0.409 0.077
4 Cd 0.591 0.591 0.923
5 Ga 0.000 0.000 0.500
6 Au 0.122 0.122 0.823
7 Au 0.878 0.878 0.177

Calculated values
Size of the total moment ... 0.00 μB per formula unit
Final energy ... -0.148 Ry per atom
ΔE_f ... -0.136 eV/atom


Entry 5:
Compound: Cs2CdGeAu
Source: the Alexandria database
Functional: PBE
Structure: optimized geometry

Cell: 7.130 7.130 4.786 Å, 90.00 90.00 90.00°
Sites, in units of the cell vectors:
1 Cs 0.000 0.500 0.000
2 Cs 0.500 0.000 0.000
3 Cd 0.000 0.000 0.500
4 Ge 0.500 0.500 0.500
5 Au 0.500 0.500 0.000

Calculated values
Size of the total moment ... 0.00 μB per formula unit
Final energy ... -0.157 Ry per atom
ΔE_f ... -0.028 eV/atom


Entry 6:
Compound: Cs2CdHAu
Source: the Alexandria database
Functional: PBE
Structure: optimized geometry

Cell: 6.751 6.751 3.810 Å, 90.00 90.00 90.00°
Sites, in units of the cell vectors:
1 Cs 0.000 0.500 0.000
2 Cs 0.500 0.000 0.000
3 Cd 0.000 0.000 0.500
4 H 0.500 0.500 0.000
5 Au 0.500 0.500 0.500

Calculated values
Size of the total moment ... 0.00 μB per formula unit
Final energy ... -0.140 Ry per atom


Entry 7:
Compound: Cs2CdHAu
Source: the Alexandria database
Functional: PBE
Structure: optimized geometry

Cell: 7.050 5.360 10.627 Å, 90.00 108.69 90.00°
Sites, in units of the cell vectors:
1 Cs 0.215 0.250 0.376
2 Cs 0.258 0.750 0.021
3 Cs 0.742 0.250 0.979
4 Cs 0.785 0.750 0.624
5 Cd 0.240 0.250 0.729
6 Cd 0.760 0.750 0.271
7 H 0.064 0.250 0.845
8 H 0.936 0.750 0.155
9 Au 0.327 0.750 0.708
10 Au 0.673 0.250 0.292

Calculated values
Size of the total moment ... 0.00 μB per formula unit
Final energy ... -0.147 Ry per atom


Entry 8:
Compound: Cs2CdHAu
Source: the Alexandria database
Functional: PBE
Structure: optimized geometry

Cell: 6.004 6.004 4.836 Å, 90.00 90.00 90.00°
Sites, in units of the cell vectors:
1 Cs 0.000 0.500 0.000
2 Cs 0.500 0.000 0.000
3 Cd 0.000 0.000 0.500
4 H 0.000 0.000 0.000
5 Au 0.500 0.500 0.500

Calculated values
Size of the total moment ... 0.00 μB per formula unit
Final energy ... -0.141 Ry per atom


Entry 9:
Compound: CsCdHgAu
Source: the Alexandria database
Functional: PBE
Structure: optimized geometry

Cell: 5.768 5.768 5.768 Å, 60.00 60.00 60.00°
Sites, in units of the cell vectors:
1 Cs 0.000 0.000 0.000
2 Cd 0.500 0.500 0.500
3 Hg 0.250 0.250 0.250
4 Au 0.750 0.750 0.750

Calculated values
Size of the total moment ... 0.00 μB per formula unit
Final energy ... -0.102 Ry per atom
ΔE_f ... -0.051 eV/atom


Entry 10:
Compound: CsCdHg2Au
Source: the Alexandria database
Functional: PBE
Structure: optimized geometry

Cell: 6.980 6.980 6.980 Å, 136.50 135.96 63.62°
Sites, in units of the cell vectors:
1 Cs 0.000 0.000 0.000
2 Cd 0.255 0.755 0.500
3 Hg 0.605 0.605 0.000
4 Hg 0.754 0.254 0.500
5 Au 0.361 0.361 0.000

Calculated values
Size of the total moment ... 0.00 μB per formula unit
Final energy ... -0.098 Ry per atom
ΔE_f ... -0.201 eV/atom


Entry 11:
Compound: Cs2Cd12HgAu3
Source: the Alexandria database
Functional: PBE
Structure: optimized geometry

Cell: 9.313 9.313 9.313 Å, 64.29 64.29 64.29°
Sites, in units of the cell vectors:
1 Cs 0.096 0.096 0.096
2 Cs 0.904 0.904 0.904
3 Cd 0.139 0.623 0.623
4 Cd 0.170 0.170 0.499
5 Cd 0.170 0.499 0.170
6 Cd 0.377 0.377 0.861
7 Cd 0.377 0.861 0.377
8 Cd 0.499 0.170 0.170
9 Cd 0.501 0.830 0.830
10 Cd 0.623 0.139 0.623
11 Cd 0.623 0.623 0.139
12 Cd 0.830 0.501 0.830
13 Cd 0.830 0.830 0.501
14 Cd 0.861 0.377 0.377
15 Hg 0.500 0.500 0.500
16 Au 0.000 0.500 0.500
17 Au 0.500 0.000 0.500
18 Au 0.500 0.500 0.000

Calculated values
Size of the total moment ... 0.00 μB per formula unit
Final energy ... -0.091 Ry per atom
ΔE_f ... 0.028 eV/atom


Entry 12:
Compound: CsCdHg2Au
Source: the Alexandria database
Functional: PBE
Structure: optimized geometry

Cell: 5.537 5.537 6.668 Å, 90.00 90.00 90.00°
Sites, in units of the cell vectors:
1 Cs 0.000 0.000 0.000
2 Cd 0.500 0.500 0.000
3 Hg 0.000 0.500 0.500
4 Hg 0.500 0.000 0.500
5 Au 0.000 0.000 0.500

Calculated values
Size of the total moment ... 0.00 μB per formula unit
Final energy ... -0.085 Ry per atom
ΔE_f ... -0.026 eV/atom